Here is a geometry-optimized RbNa2ZnPb structure from Alexandria via LeMat-Bulk. Energies are from GGA-PBE.

Geometry as POSCAR:
```
RbNa2ZnPb
1.0
6.158 0.000 0.000
0.000 6.158 0.000
0.000 0.000 5.422
Pb Na Zn Rb
1 2 1 1
Direct
0.000 0.000 0.000
0.000 0.500 0.000
0.500 0.000 0.000
0.000 0.000 0.500
0.500 0.500 0.500
```

Calculated values
- Fermi-level density of states (states/eV per atom) = 0.359
- SG = P4/mmm
- final energy (eV/f.u.) = -8.4
- formation energy (kJ per mole of atoms) = 3.4
- polymorph energy (0 for the lowest one) (eV per atom) = 0.004